Record 1
A plane-wave DFT calculation with GGA-PBE was carried out for CuOF after structural relaxation.

Unit cell a=2.635 b=2.635 c=9.370 alpha=90.00 beta=90.00 gamma=90.00
Positions (direct):
Cu (0.250, 0.250, 0.230)
Cu (0.750, 0.750, 0.770)
O (0.250, 0.250, 0.879)
O (0.750, 0.750, 0.121)
F (0.250, 0.250, 0.636)
F (0.750, 0.750, 0.364)

Energy above the most stable polymorph in this dataset in eV/atom: 0.446
VASP energy in eV per atom: -3.94
Energy relative to the elements, uncorrected in kJ per mole of atoms: -29

***

Record 2
A plane-wave DFT calculation with GGA-PBE was carried out for GaAgPt3 after structural relaxation.

Unit cell a=4.636 b=4.636 c=4.636 alpha=90.00 beta=90.00 gamma=90.00
Positions (direct):
Ga (0.000, 0.000, 0.000)
Ag (0.500, 0.500, 0.500)
Pt (0.000, 0.000, 0.500)
Pt (0.000, 0.500, 0.000)
Pt (0.500, 0.000, 0.000)

Energy above the most stable polymorph in this dataset in eV/atom: 0.448
VASP energy in eV per atom: -4.31
ΔH_f (0 K) in eV/atom: 0.489

***

VASP energy of number 2 (GaAgPt3)? -4.31 eV per atom

***

The lowest VASP energy belongs to which entry? GaAgPt3